The following is a DFT calculation (SCAN) of a crystal of CoW2Cl relaxed with PBEsol.

Lattice parameters (Å, degrees): 2.861 2.861 6.563 90.00 90.00 90.00
Atoms (fractional coordinates):
Co: 0.000 0.000 0.000
W: 0.500 0.500 0.239
W: 0.500 0.500 0.761
Cl: 0.000 0.000 0.500

Summary:
The value obtained for the calculated total energy is -1.4856 hartree per atom. As for the spin magnetization: 1.6 μB per formula unit. As for the density: 14.29 g cm⁻³. As for the density of states at the Fermi level: 1.96 states/eV per cell.